No. 1
Computed, not measured: a relaxed Nd2ErBi crystal at the PBE level of DFT.

Cell and atoms, written as POSCAR:
```
Nd2ErBi
1.0
-3.5533 1.9112 0.9826
-2.9076 0.5985 -2.9037
-6.1020 -7.6390 1.5664
Nd Bi Er
2 1 1
Cartesian
-5.2516 -5.8136 1.0911 Nd
-3.0021 -0.9849 -0.1661 Nd
-4.3078 1.6718 -1.2804 Bi
-6.2827 -2.5674 -0.1766 Er
```

energy of formation from the pure elements = -0.177 eV/atom
E = -18.7 eV/cell

***

No. 2
Computed, not measured: a relaxed Nd2ErBi crystal at the PBE level of DFT.

Cell and atoms, written as POSCAR:
```
Nd2ErBi
1.0
3.5784 0.0000 0.0000
1.7892 3.0990 0.0000
1.7892 1.0330 12.3537
Er Nd Bi
1 2 1
Cartesian
3.5784 2.0660 6.1769 Er
5.3677 3.0990 3.2575 Nd
1.7892 1.0330 9.0962 Nd
0.0000 0.0000 0.0000 Bi
```

energy of formation from the pure elements = 0.006 eV/atom
E = -18.0 eV/cell

***

No. 3
Computed, not measured: a relaxed NdEr2Bi4 crystal at the PBE level of DFT.

Cell and atoms, written as POSCAR:
```
NdEr2Bi4
1.0
-3.0081 2.9426 -1.6706
-0.1754 -5.3636 -2.9967
-11.7191 -5.7489 10.9756
Bi Nd Er
8 2 4
Cartesian
-1.5040 1.4713 -0.8353 Bi
-11.4607 -5.5458 4.7329 Bi
-10.8414 -6.2569 8.5003 Bi
-4.0612 -1.9130 -2.1920 Bi
-7.1379 -3.4223 0.6895 Bi
-7.7647 -4.7476 5.6188 Bi
-7.3636 -1.4032 4.6525 Bi
-3.4419 -2.6241 1.5754 Bi
-4.4182 -4.8867 -0.6521 Nd
-10.4845 -3.2832 6.9604 Nd
-9.3831 -4.4904 2.8508 Er
-5.5195 -3.6795 3.4575 Er
-1.4039 -1.6605 -0.3970 Er
-13.4988 -6.5094 6.7053 Er
```

energy of formation from the pure elements = -0.611 eV/atom
E = -67.4 eV/cell

***

No. 4
Computed, not measured: a relaxed Nd2Er5Bi4 crystal at the PBE level of DFT.

Cell and atoms, written as POSCAR:
```
Nd2Er5Bi4
1.0
3.7408 0.0000 0.0000
0.0000 6.9688 2.4045
-1.8704 4.2892 15.7282
Bi Er Nd
4 5 2
Cartesian
1.8704 6.3927 6.8700 Bi
0.0000 4.8653 11.2627 Bi
0.0000 4.4607 2.7049 Bi
1.8704 6.7974 15.4278 Bi
1.8704 9.9218 15.4164 Er
1.8704 7.1506 12.4072 Er
1.8704 0.0000 0.0000 Er
0.0000 4.1075 5.7256 Er
0.0000 1.3362 2.7164 Er
0.0000 7.6904 9.3502 Nd
1.8704 3.5677 8.7825 Nd
```

energy of formation from the pure elements = -0.257 eV/atom
E = -50.7 eV/cell

***

No. 5
Computed, not measured: a relaxed Nd2ErBi crystal at the PBE level of DFT.

Cell and atoms, written as POSCAR:
```
Nd2ErBi
1.0
-3.0327 -3.9491 0.1090
3.8210 -2.9617 -0.9947
0.8535 -0.5221 4.8332
Nd Bi Er
2 1 1
Cartesian
0.4268 -0.2610 2.4166 Nd
1.9105 -1.4809 -0.4973 Nd
-1.5163 -1.9745 0.0545 Bi
0.8209 -3.7164 1.9738 Er
```

energy of formation from the pure elements = -0.388 eV/atom
E = -19.5 eV/cell

***

No. 6
Computed, not measured: a relaxed Nd5Er2Bi4 crystal at the PBE level of DFT.

Cell and atoms, written as POSCAR:
```
Nd5Er2Bi4
1.0
-2.7889 1.4531 -1.6103
-0.2914 -6.0580 -4.9620
-6.8887 -7.2178 9.2935
Bi Nd Er
4 5 2
Cartesian
-0.7779 -4.5406 -2.7501 Bi
-5.5910 -7.2158 3.1718 Bi
-4.3780 -4.6070 -0.4507 Bi
-9.1911 -7.2821 5.4713 Bi
-5.9952 -7.4447 -0.2106 Nd
-7.4029 -4.7017 4.7027 Nd
-3.9738 -4.3780 2.9317 Nd
-2.5661 -7.1210 -1.9815 Nd
-1.3945 0.7265 -0.8051 Nd
-1.5245 -3.0327 -0.0963 Er
-8.4445 -8.7900 2.8175 Er
```

energy of formation from the pure elements = -0.291 eV/atom
E = -51.7 eV/cell

***

No. 7
Computed, not measured: a relaxed Nd8ErBi6 crystal at the PBE level of DFT.

Cell and atoms, written as POSCAR:
```
Nd8ErBi6
1.0
8.3291 0.0000 0.0000
4.1645 7.2132 0.0000
4.1645 2.4044 8.7930
Bi Nd Er
6 8 1
Cartesian
11.1294 4.7402 7.0690 Bi
6.9883 7.2683 7.0690 Bi
9.6699 2.3493 1.7239 Bi
6.8695 2.4179 7.0690 Bi
5.5287 4.8774 1.7239 Bi
9.7886 7.1997 1.7239 Bi
11.0918 4.7459 3.2152 Nd
12.4936 7.2132 8.7872 Nd
7.0022 7.2329 3.2152 Nd
9.7649 7.1699 5.5777 Nd
9.6559 2.3847 5.5777 Nd
4.1645 2.4044 0.0058 Nd
5.5663 4.8717 5.5777 Nd
6.8932 2.4476 3.2152 Nd
0.0000 0.0000 0.0000 Er
```

energy of formation from the pure elements = -0.581 eV/atom
E = -74.7 eV/cell

***

No. 8
Computed, not measured: a relaxed Nd2ErBi crystal at the PBE level of DFT.

Cell and atoms, written as POSCAR:
```
Nd2ErBi
1.0
4.3178 0.0000 0.0000
0.0000 4.3178 0.0000
0.0000 0.0000 6.8528
Bi Er Nd
1 1 2
Cartesian
2.1589 2.1589 0.0000 Bi
2.1589 2.1589 3.4264 Er
0.0000 0.0000 5.2163 Nd
0.0000 0.0000 1.6365 Nd
```

energy of formation from the pure elements = -0.390 eV/atom
E = -19.5 eV/cell

***

No. 9
Computed, not measured: a relaxed NdEr3Bi4 crystal at the PBE level of DFT.

Cell and atoms, written as POSCAR:
```
NdEr3Bi4
1.0
4.4925 -0.0562 0.0760
0.0566 7.4620 2.1809
-0.1257 0.4353 7.7612
Nd Er Bi
1 3 4
Cartesian
2.1487 4.1392 8.8896 Nd
2.1832 0.1905 3.9186 Er
4.3666 0.3799 7.8373 Er
4.4577 3.8933 5.0471 Er
4.4737 1.8680 2.6021 Bi
2.2570 5.7071 3.6507 Bi
2.1659 2.1356 6.3676 Bi
4.4418 5.9189 7.4919 Bi
```

energy of formation from the pure elements = -0.841 eV/atom
E = -40.7 eV/cell

***

No. 10
Computed, not measured: a relaxed Nd4ErBi2 crystal at the PBE level of DFT.

Cell and atoms, written as POSCAR:
```
Nd4ErBi2
1.0
-0.3431 -4.9536 -2.2923
-1.0471 -2.1944 4.8988
-7.7659 4.7526 -2.5838
Bi Nd Er
2 4 1
Cartesian
-6.1873 0.8619 -0.9364 Bi
-2.9688 -3.2573 0.9592 Bi
-6.0812 -2.8237 0.4881 Nd
-3.0749 0.4283 -0.4654 Nd
-0.5235 -1.0972 2.4494 Nd
-0.1716 -2.4768 -1.1461 Nd
0.0000 0.0000 0.0000 Er
```

energy of formation from the pure elements = 0.152 eV/atom
E = -30.3 eV/cell

***

No. 11
Computed, not measured: a relaxed Nd2Er3Bi2 crystal at the PBE level of DFT.

Cell and atoms, written as POSCAR:
```
Nd2Er3Bi2
1.0
-3.9847 -1.7189 -0.3871
4.1128 -3.0999 -4.0536
0.7409 -3.5205 8.0066
Nd Er Bi
2 3 2
Cartesian
-0.2552 -4.5655 -1.6190 Nd
1.1242 -3.7738 5.1850 Nd
2.0063 -4.9291 1.2342 Er
-1.9924 -0.8594 -0.1935 Er
-1.1374 -3.4103 2.3318 Er
-0.0005 -6.2893 3.4135 Bi
0.8695 -2.0500 0.1525 Bi
```

energy of formation from the pure elements = -0.469 eV/atom
E = -34.3 eV/cell

***

No. 12
Computed, not measured: a relaxed NdEr2Bi crystal at the PBE level of DFT.

Cell and atoms, written as POSCAR:
```
NdEr2Bi
1.0
4.8657 0.0000 0.0000
0.0000 4.9076 0.0000
0.0000 0.0000 4.9076
Bi Er Nd
1 2 1
Cartesian
2.4329 2.4538 2.4538 Bi
0.0000 0.0000 2.4538 Er
0.0000 2.4538 0.0000 Er
2.4329 0.0000 0.0000 Nd
```

energy of formation from the pure elements = -0.346 eV/atom
E = -19.2 eV/cell

***

No. 13
Computed, not measured: a relaxed NdEr5Bi6 crystal at the PBE level of DFT.

Cell and atoms, written as POSCAR:
```
NdEr5Bi6
1.0
7.7493 0.2132 0.0000
2.3864 7.3751 0.0000
1.1932 3.6875 6.7149
Bi Nd Er
6 1 5
Cartesian
6.3833 2.0402 2.2797 Bi
7.5756 5.6436 0.0000 Bi
4.9457 9.2357 4.4352 Bi
3.7525 5.5481 2.2797 Bi
7.5765 5.7277 4.4352 Bi
2.5602 1.9447 0.0000 Bi
0.0000 0.0000 0.0000 Nd
6.2611 7.4817 2.1945 Er
2.3864 7.3751 4.4596 Er
5.0679 3.7942 4.5204 Er
5.0679 3.7942 0.0000 Er
1.1932 3.6875 2.2553 Er
```

energy of formation from the pure elements = -0.831 eV/atom
E = -60.8 eV/cell

***

No. 14
Computed, not measured: a relaxed Nd4ErBi5 crystal at the PBE level of DFT.

Cell and atoms, written as POSCAR:
```
Nd4ErBi5
1.0
5.8368 0.0000 2.8152
2.9184 7.2382 1.4076
-0.2261 0.0000 7.9271
Bi Nd Er
5 4 1
Cartesian
2.3101 4.3947 2.6830 Bi
3.9331 5.8252 6.7762 Bi
4.6070 1.4130 5.3791 Bi
6.2301 2.8435 9.4723 Bi
2.9264 0.0000 1.4115 Bi
6.8677 5.7666 8.1495 Nd
3.3368 2.8815 8.0117 Nd
1.6718 1.4717 4.0055 Nd
5.2027 4.3567 4.1433 Nd
0.0092 0.0000 0.0044 Er
```

energy of formation from the pure elements = -0.916 eV/atom
E = -52.2 eV/cell

***

No. 15
Computed, not measured: a relaxed NdEr2Bi2 crystal at the PBE level of DFT.

Cell and atoms, written as POSCAR:
```
NdEr2Bi2
1.0
-4.5344 0.0320 -0.2179
0.0468 -4.3186 -1.3985
1.8995 -0.1807 8.0362
Nd Er Bi
1 2 2
Cartesian
0.0000 0.0000 0.0000 Nd
-0.1471 -3.3229 2.9144 Er
-2.4410 -1.1444 3.5055 Er
-0.2786 -1.8441 5.7144 Bi
-2.3095 -2.6233 0.7055 Bi
```

energy of formation from the pure elements = -0.458 eV/atom
E = -23.9 eV/cell

***

No. 16
Computed, not measured: a relaxed NdEr2Bi crystal at the PBE level of DFT.

Cell and atoms, written as POSCAR:
```
NdEr2Bi
1.0
-2.0273 2.7459 -1.0111
-2.9457 0.8061 1.8290
4.7332 8.5043 7.3390
Er Nd Bi
2 1 1
Cartesian
3.0650 6.5935 5.4946 Er
-3.3048 5.4627 2.6624 Er
-0.1199 6.0281 4.0785 Nd
0.0000 0.0000 0.0000 Bi
```

energy of formation from the pure elements = 0.033 eV/atom
E = -17.6 eV/cell

***

No. 17
Computed, not measured: a relaxed Nd5Er3Bi8 crystal at the PBE level of DFT.

Cell and atoms, written as POSCAR:
```
Nd5Er3Bi8
1.0
7.9003 0.0000 4.5253
2.6541 7.4411 4.5253
0.0349 0.0246 9.0979
Nd Bi Er
5 8 3
Cartesian
5.2946 3.7329 9.0743 Nd
1.3270 3.7206 2.2627 Nd
5.2772 3.7206 4.5253 Nd
3.9501 0.0000 2.2627 Nd
0.0000 0.0000 0.0000 Nd
7.9247 5.5872 9.1283 Bi
2.6645 1.8786 9.0202 Bi
6.5785 1.8127 6.8329 Bi
7.9803 5.6263 13.5445 Bi
2.6090 1.8394 4.6040 Bi
4.0108 5.6530 11.3157 Bi
6.6718 1.8786 11.3157 Bi
3.9174 5.5872 6.8329 Bi
0.0174 0.0123 4.5490 Er
1.3445 3.7329 6.8116 Er
3.9676 0.0123 6.8116 Er
```

energy of formation from the pure elements = -0.892 eV/atom
E = -82.8 eV/cell

***

No. 18
Computed, not measured: a relaxed NdErBi2O6 crystal at the PBE level of DFT.

Cell and atoms, written as POSCAR:
```
NdErBi2O6
1.0
6.0889 0.0014 -0.0007
3.0457 5.2736 -0.0001
3.0440 1.7588 5.1132
O Er Bi Nd
6 1 2 1
Cartesian
4.4382 3.6009 3.8327 O
5.0708 1.4024 1.2435 O
6.8423 2.0442 3.8343 O
4.7688 5.4551 1.2447 O
8.4304 3.6933 1.2423 O
6.9878 4.9050 3.8330 O
3.0445 1.7580 0.3655 Er
3.0431 1.7583 4.8071 Bi
6.0885 3.5179 2.2200 Bi
9.1336 5.2758 3.0170 Nd
```

E = -70.1 eV/cell
formation energy (no corrections) = -2326 meV per atom

***

No. 19
Computed, not measured: a relaxed Pm2NdErBi5 crystal at the PBE level of DFT.

Cell and atoms, written as POSCAR:
```
Pm2NdErBi5
1.0
-0.5323 -4.1455 -3.6839
5.2791 0.7551 -1.6126
3.6317 -7.7899 8.2413
Pm Er Nd Bi
2 1 1 5
Cartesian
5.0056 -7.3411 3.3249 Pm
3.3729 -3.8392 -0.3800 Pm
0.0000 0.0000 0.0000 Er
1.8159 -3.8950 4.1207 Nd
1.5497 -5.9677 2.2787 Bi
4.4554 -3.5174 3.3144 Bi
2.7522 -5.9033 6.2454 Bi
0.8796 -1.8866 1.9960 Bi
2.3734 -1.6952 -2.6482 Bi
```

energy of formation from the pure elements = 0.025 eV/atom
E = -38.0 eV/cell

***

No. 20
Computed, not measured: a relaxed Pm3Nd2ErBi6 crystal at the PBE level of DFT.

Cell and atoms, written as POSCAR:
```
Pm3Nd2ErBi6
1.0
4.5695 0.0000 0.0000
0.0000 9.1287 0.3268
-2.2847 -2.6266 9.5985
Pm Er Bi Nd
3 1 6 2
Cartesian
0.0000 6.7282 3.5010 Pm
2.2847 4.5643 0.1634 Pm
2.2847 -0.2261 6.4242 Pm
2.2847 0.0000 0.0000 Er
2.2847 -0.1287 3.1726 Bi
0.0000 6.6307 6.7526 Bi
0.0000 6.9026 0.2742 Bi
2.2847 -0.4005 9.6511 Bi
2.2847 4.4590 3.3865 Bi
0.0000 2.0430 6.5388 Bi
0.0000 2.1636 3.2894 Nd
2.2847 4.3384 6.6358 Nd
```

energy of formation from the pure elements = -0.919 eV/atom
E = -62.7 eV/cell